VASP calculation (GGA-PBE) on a relaxed structure of In5Hg12Pb3.

a b c (Å): 15.1514 15.1514 15.1514
angles (deg): 109.47 109.47 109.47
Last column: nearest neighbours and their distance in Å.
Fractional positions:
Pb1 0.7500 0.3750 0.1250  8 Hg 3.10-3.25
Pb2 0.8750 0.7500 0.1250  8 Hg 3.10-3.25
Pb3 0.3750 0.7500 0.6250  8 Hg 3.10-3.25
Pb4 0.2500 0.1250 0.3750  8 Hg 3.10-3.25
Pb5 0.8750 0.1250 0.2500  8 Hg 3.10-3.25
Pb6 0.3750 0.6250 0.2500  8 Hg 3.10-3.25
Pb7 0.6250 0.3750 0.7500  8 Hg 3.10-3.25
Pb8 0.1250 0.8750 0.7500  8 Hg 3.10-3.25
Pb9 0.7500 0.8750 0.6250  8 Hg 3.10-3.25
Pb10 0.6250 0.2500 0.3750  8 Hg 3.10-3.25
Pb11 0.1250 0.2500 0.8750  8 Hg 3.10-3.25
Pb12 0.2500 0.6250 0.8750  8 Hg 3.10-3.25
In1 0.1250 0.3750 0.2500  4 Hg 2.88
In2 0.0000 0.5000 0.0000  6 Hg 3.02
In3 0.0000 0.0000 0.0000  6 Hg 3.02
In4 0.3750 0.2500 0.1250  4 Hg 2.88
In5 0.5000 0.0000 0.5000  6 Hg 3.02
In6 0.5000 0.5000 0.0000  6 Hg 3.02
In7 0.1250 0.7500 0.3750  4 Hg 2.88
In8 0.7500 0.1250 0.8750  4 Hg 2.88
In9 0.7500 0.6250 0.3750  4 Hg 2.88
In10 0.3750 0.1250 0.7500  4 Hg 2.88
In11 0.6250 0.8750 0.2500  4 Hg 2.88
In12 0.5000 0.5000 0.5000  6 Hg 3.02
In13 0.5000 0.0000 0.0000  6 Hg 3.02
In14 0.0000 0.0000 0.5000  6 Hg 3.02
In15 0.2500 0.3750 0.6250  4 Hg 2.88
In16 0.2500 0.8750 0.1250  4 Hg 2.88
In17 0.0000 0.5000 0.5000  6 Hg 3.02
In18 0.8750 0.2500 0.6250  4 Hg 2.88
In19 0.6250 0.7500 0.8750  4 Hg 2.88
In20 0.8750 0.6250 0.7500  4 Hg 2.88
Hg1 0.7301 0.1391 0.0612  2 In 2.88-3.02, 1 Pb 3.10
Hg2 0.3312 0.5612 0.4221  2 In 2.88-3.02, 1 Pb 3.10
Hg3 0.9388 0.3609 0.2699  2 In 2.88-3.02, 1 Pb 3.10
Hg4 0.5612 0.2301 0.1391  2 In 2.88-3.02, 1 Pb 3.10
Hg5 0.5909 0.7301 0.6688  2 In 2.88-3.02, 1 Pb 3.10
Hg6 0.9388 0.5779 0.1688  2 In 2.88-3.02, 1 Pb 3.10
Hg7 0.3312 0.7699 0.4091  2 In 2.88-3.02, 1 Pb 3.10
Hg8 0.0779 0.9091 0.1391  2 In 2.88-3.02, 1 Pb 3.10
Hg9 0.5779 0.9388 0.6688  2 In 2.88-3.02, 1 Pb 3.10
Hg10 0.7301 0.5909 0.1688  2 In 2.88-3.02, 1 Pb 3.10
Hg11 0.7699 0.4388 0.3609  2 In 2.88-3.02, 1 Pb 3.10
Hg12 0.8312 0.9221 0.0612  2 In 2.88-3.02, 1 Pb 3.10
Hg13 0.1391 0.7301 0.5612  2 In 2.88-3.02, 1 Pb 3.10
Hg14 0.3609 0.4221 0.0909  2 In 2.88-3.02, 1 Pb 3.10
Hg15 0.0909 0.9221 0.3609  2 In 2.88-3.02, 1 Pb 3.10
Hg16 0.4091 0.1391 0.5779  2 In 2.88-3.02, 1 Pb 3.10
Hg17 0.0909 0.1688 0.2301  2 In 2.88-3.02, 1 Pb 3.10
Hg18 0.4388 0.6688 0.0779  2 In 2.88-3.02, 1 Pb 3.10
Hg19 0.8312 0.9091 0.2699  2 In 2.88-3.02, 1 Pb 3.10
Hg20 0.1391 0.4091 0.0779  2 In 2.88-3.02, 1 Pb 3.10
Hg21 0.3609 0.9388 0.7699  2 In 2.88-3.02, 1 Pb 3.10
Hg22 0.5779 0.6391 0.4091  2 In 2.88-3.02, 1 Pb 3.10
Hg23 0.9221 0.8312 0.5612  2 In 2.88-3.02, 1 Pb 3.10
Hg24 0.7699 0.3312 0.9091  2 In 2.88-3.02, 1 Pb 3.10
Hg25 0.4221 0.3609 0.5909  2 In 2.88-3.02, 1 Pb 3.10
Hg26 0.0779 0.1688 0.4388  2 In 2.88-3.02, 1 Pb 3.10
Hg27 0.2301 0.6688 0.0909  2 In 2.88-3.02, 1 Pb 3.10
Hg28 0.1688 0.0909 0.7301  2 In 2.88-3.02, 1 Pb 3.10
Hg29 0.6391 0.0612 0.2301  2 In 2.88-3.02, 1 Pb 3.10
Hg30 0.8609 0.5909 0.9221  2 In 2.88-3.02, 1 Pb 3.10
Hg31 0.5612 0.3312 0.9221  2 In 2.88-3.02, 1 Pb 3.10
Hg32 0.5909 0.8609 0.4221  2 In 2.88-3.02, 1 Pb 3.10
Hg33 0.9091 0.8312 0.7699  2 In 2.88-3.02, 1 Pb 3.10
Hg34 0.9091 0.0779 0.6391  2 In 2.88-3.02, 1 Pb 3.10
Hg35 0.8609 0.2699 0.4388  2 In 2.88-3.02, 1 Pb 3.10
Hg36 0.1688 0.0779 0.9388  2 In 2.88-3.02, 1 Pb 3.10
Hg37 0.6391 0.5779 0.9091  2 In 2.88-3.02, 1 Pb 3.10
Hg38 0.4221 0.0612 0.3312  2 In 2.88-3.02, 1 Pb 3.10
Hg39 0.2699 0.4091 0.8312  2 In 2.88-3.02, 1 Pb 3.10
Hg40 0.2301 0.5612 0.6391  2 In 2.88-3.02, 1 Pb 3.10
Hg41 0.9221 0.0909 0.8609  2 In 2.88-3.02, 1 Pb 3.10
Hg42 0.6688 0.2301 0.5909  2 In 2.88-3.02, 1 Pb 3.10
Hg43 0.4388 0.7699 0.8609  2 In 2.88-3.02, 1 Pb 3.10
Hg44 0.0612 0.4221 0.8312  2 In 2.88-3.02, 1 Pb 3.10
Hg45 0.4091 0.2699 0.3312  2 In 2.88-3.02, 1 Pb 3.10
Hg46 0.0612 0.6391 0.7301  2 In 2.88-3.02, 1 Pb 3.10
Hg47 0.6688 0.4388 0.5779  2 In 2.88-3.02, 1 Pb 3.10
Hg48 0.2699 0.8609 0.9388  2 In 2.88-3.02, 1 Pb 3.10

Calculated values
- symmetry = Ia-3d (230)
- E_tot (eV/atom) = -1.28
- DFT formation energy (eV/atom) = 0.142
- DOS(E_F) (states/eV/f.u.) = 10.57

***

VASP calculation (GGA-PBE) on a relaxed structure of In2HgPb.

a b c (Å): 8.5159 8.5159 6.8191
angles (deg): 51.36 51.36 90.00
Last column: nearest neighbours and their distance in Å.
Fractional positions:
Pb1 0.0000 0.0000 0.0000  2 Hg 3.20, 4 In 3.22
Pb2 0.7500 0.2500 0.5000  2 Hg 3.20, 4 In 3.22
Hg1 0.5000 0.5000 0.0000  4 In 3.01, 2 Pb 3.20
Hg2 0.2500 0.7500 0.5000  4 In 3.01, 2 Pb 3.20
In1 0.6071 0.1250 0.2500  2 Hg 3.01, 2 In 3.21, 2 Pb 3.22
In2 0.1429 0.6250 0.2500  2 Hg 3.01, 2 In 3.21, 2 Pb 3.22
In3 0.3750 0.3929 0.7500  2 Hg 3.01, 2 In 3.21, 2 Pb 3.22
In4 0.8750 0.8571 0.7500  2 Hg 3.01, 2 In 3.21, 2 Pb 3.22

Calculated values
- symmetry = I-42d (122)
- E_tot (eV/atom) = -2.30
- DFT formation energy (eV/atom) = 0.075
- DOS(E_F) (states/eV/f.u.) = 2.46

***

VASP calculation (GGA-PBE) on a relaxed structure of InHg4Pb8.

a b c (Å): 8.4924 8.4924 8.4924
angles (deg): 60.00 60.00 60.00
Last column: nearest neighbours and their distance in Å.
Fractional positions:
In1 0.7500 0.7500 0.7500  4 Pb 3.08
Hg1 0.9568 0.3477 0.3477  6 Pb 3.13-3.17, 3 Hg 3.32
Hg2 0.3477 0.9568 0.3477  6 Pb 3.13-3.17, 3 Hg 3.32
Hg3 0.3477 0.3477 0.9568  6 Pb 3.13-3.17, 3 Hg 3.32
Hg4 0.3477 0.3477 0.3477  6 Pb 3.13-3.17, 3 Hg 3.32
Pb1 0.7050 0.0983 0.0983  3 Hg 3.13, 3 Pb 3.34
Pb2 0.0983 0.7050 0.0983  3 Hg 3.13, 3 Pb 3.34
Pb3 0.0983 0.0983 0.7050  3 Hg 3.13, 3 Pb 3.34
Pb4 0.0983 0.0983 0.0983  3 Hg 3.13, 3 Pb 3.34
Pb5 0.1941 0.6020 0.6020  1 In 3.08, 3 Hg 3.17
Pb6 0.6020 0.1941 0.6020  1 In 3.08, 3 Hg 3.17
Pb7 0.6020 0.6020 0.1941  1 In 3.08, 3 Hg 3.17
Pb8 0.6020 0.6020 0.6020  1 In 3.08, 3 Hg 3.17

Calculated values
- symmetry = F-43m (216)
- E_tot (eV/atom) = -2.39
- DFT formation energy (eV/atom) = 0.194
- DOS(E_F) (states/eV/f.u.) = 7.81

***

VASP calculation (GGA-PBE) on a relaxed structure of In12HgPb16.

a b c (Å): 10.4922 10.4922 10.1551
angles (deg): 108.52 108.52 111.07
Last column: nearest neighbours and their distance in Å.
Fractional positions:
In1 0.8082 0.8082 0.1952  1 Hg 3.13, 3 In 3.15-3.27, 2 Pb 3.35
In2 0.6327 0.6327 0.8206  3 In 3.15-3.17, 7 Pb 3.34-3.50
In3 0.3654 0.1840 0.9922  3 In 3.14-3.20, 6 Pb 3.31-3.51
In4 0.8125 0.6283 0.6216  3 In 3.15-3.19, 1 Hg 3.30, 5 Pb 3.35-3.52
In5 0.1912 0.0043 0.3752  3 In 3.10-3.27, 3 Pb 3.33-3.37
In6 0.3730 0.9987 0.1873  3 In 3.10-3.19, 3 Pb 3.33-3.43
In7 0.1809 0.8096 0.8121  3 In 3.15-3.20, 6 Pb 3.37-3.48
In8 0.8096 0.1809 0.8121  3 In 3.15-3.20, 6 Pb 3.37-3.48
In9 0.9987 0.3730 0.1873  3 In 3.10-3.19, 3 Pb 3.33-3.43
In10 0.0043 0.1912 0.3752  3 In 3.10-3.27, 3 Pb 3.33-3.37
In11 0.6283 0.8125 0.6216  3 In 3.15-3.19, 1 Hg 3.30, 5 Pb 3.35-3.52
In12 0.1840 0.3654 0.9922  3 In 3.14-3.20, 6 Pb 3.31-3.51
Hg1 0.5925 0.5925 0.2809  3 In 3.13-3.30, 1 Pb 3.25
Pb1 0.3463 0.3463 0.3326  1 Hg 3.25, 6 In 3.44-3.62, 3 Pb 3.48
Pb2 0.0061 0.0061 0.0139  4 Pb 3.46-3.49, 12 In 3.57-3.84
Pb3 0.9930 0.9930 0.6622  6 In 3.42-3.55, 4 Pb 3.48-3.49
Pb4 0.3123 0.3123 0.7205  5 In 3.34-3.41, 5 Pb 3.49-3.61
Pb5 0.6885 0.4100 0.0019  5 In 3.31-3.51, 6 Pb 3.40-3.70, 1 Hg 3.53
Pb6 0.5907 0.2828 0.5949  5 In 3.37-3.53, 7 Pb 3.48-3.65
Pb7 0.0059 0.6900 0.4077  5 In 3.33-3.48, 6 Pb 3.48-3.64
Pb8 0.9973 0.6701 0.0019  4 Pb 3.40-3.47, 6 In 3.42-3.55
Pb9 0.7111 0.3074 0.3044  5 In 3.33-3.65, 6 Pb 3.47-3.62, 1 Hg 3.67
Pb10 0.4112 0.9960 0.6880  5 In 3.33-3.56, 6 Pb 3.46-3.70
Pb11 0.9960 0.4112 0.6880  5 In 3.33-3.56, 6 Pb 3.46-3.70
Pb12 0.3074 0.7111 0.3044  5 In 3.33-3.65, 6 Pb 3.47-3.62, 1 Hg 3.67
Pb13 0.6701 0.9973 0.0019  4 Pb 3.40-3.47, 6 In 3.42-3.55
Pb14 0.6900 0.0059 0.4077  5 In 3.33-3.48, 6 Pb 3.48-3.64
Pb15 0.2828 0.5907 0.5949  5 In 3.37-3.53, 7 Pb 3.48-3.65
Pb16 0.4100 0.6885 0.0019  5 In 3.31-3.51, 6 Pb 3.40-3.70, 1 Hg 3.53

Calculated values
- symmetry = Cm (8)
- E_tot (eV/atom) = -3.16
- DFT formation energy (eV/atom) = 0.028
- DOS(E_F) (states/eV/f.u.) = 13.84

***

VASP calculation (GGA-PBE) on a relaxed structure of In5Hg6Pb4.

a b c (Å): 5.4958 9.7970 16.7534
angles (deg): 85.50 106.23 106.29
Last column: nearest neighbours and their distance in Å.
Fractional positions:
In1 0.2897 0.0023 0.6507  5 Hg 3.20-3.42, 1 In 3.33, 4 Pb 3.39-3.46
In2 0.2874 0.9977 0.1507  5 Hg 3.20-3.42, 1 In 3.33, 4 Pb 3.39-3.46
In3 0.4655 0.3884 0.6300  3 Hg 3.15-3.28, 3 In 3.25-3.45, 2 Pb 3.33-3.34
In4 0.0771 0.6116 0.1300  3 Hg 3.15-3.28, 3 In 3.25-3.45, 2 Pb 3.33-3.34
In5 0.8172 0.4195 0.4615  5 Hg 3.11-3.34, 1 In 3.46
In6 0.3978 0.5805 0.9615  5 Hg 3.11-3.34, 1 In 3.46
In7 0.0907 0.6077 0.6465  4 Hg 3.10-3.32, 1 Pb 3.33, 3 In 3.44-3.46
In8 0.4830 0.3923 0.1465  4 Hg 3.10-3.32, 1 Pb 3.33, 3 In 3.44-3.46
In9 0.3170 0.7703 0.3097  4 Hg 3.12-3.15, 2 In 3.25-3.33, 1 Pb 3.42
In10 0.5466 0.2297 0.8097  4 Hg 3.12-3.15, 2 In 3.25-3.33, 1 Pb 3.42
Hg1 0.7203 0.6147 0.2891  4 In 3.10-3.34, 1 Hg 3.36, 2 Pb 3.42-3.47
Hg2 0.5997 0.9854 0.4564  3 Hg 3.12-3.20, 1 In 3.12, 4 Pb 3.26-3.29
Hg3 0.8264 0.4256 0.9673  4 In 3.11-3.15, 1 Hg 3.18, 3 Pb 3.34-3.47
Hg4 0.4008 0.5744 0.4673  4 In 3.11-3.15, 1 Hg 3.18, 3 Pb 3.34-3.47
Hg5 0.3295 0.7988 0.8102  1 Hg 3.12, 3 In 3.19-3.20, 4 Pb 3.27-3.47
Hg6 0.5307 0.2012 0.3102  1 Hg 3.12, 3 In 3.19-3.20, 4 Pb 3.27-3.47
Hg7 0.6482 0.7959 0.1088  5 In 3.12-3.42, 2 Hg 3.20-3.36, 1 Pb 3.30
Hg8 0.8523 0.2041 0.6088  5 In 3.12-3.42, 2 Hg 3.20-3.36, 1 Pb 3.30
Hg9 0.8592 0.2044 0.1164  2 Hg 3.13-3.18, 4 In 3.28-3.42, 2 Pb 3.30-3.32
Hg10 0.6548 0.7956 0.6164  2 Hg 3.13-3.18, 4 In 3.28-3.42, 2 Pb 3.30-3.32
Hg11 0.6143 0.0146 0.9564  3 Hg 3.12-3.20, 1 In 3.12, 4 Pb 3.26-3.29
Hg12 0.1056 0.3853 0.7891  4 In 3.10-3.34, 1 Hg 3.36, 2 Pb 3.42-3.47
Pb1 0.8911 0.9886 0.2801  5 Hg 3.30-3.52, 4 In 3.42-3.51, 2 Pb 3.47-3.58
Pb2 0.9025 0.0114 0.7801  5 Hg 3.30-3.52, 4 In 3.42-3.51, 2 Pb 3.47-3.58
Pb3 0.1064 0.3883 0.2911  6 Hg 3.27-3.49, 4 In 3.34-3.61, 1 Pb 3.47
Pb4 0.7181 0.6117 0.7911  6 Hg 3.27-3.49, 4 In 3.34-3.61, 1 Pb 3.47
Pb5 0.0160 0.7982 0.4721  6 Hg 3.26-3.53, 4 In 3.33-3.62, 2 Pb 3.54-3.58
Pb6 0.2178 0.2018 0.9721  6 Hg 3.26-3.53, 4 In 3.33-3.62, 2 Pb 3.54-3.58
Pb7 0.2046 0.1744 0.4655  5 Hg 3.26-3.64, 4 In 3.33-3.61, 3 Pb 3.47-3.54
Pb8 0.0302 0.8256 0.9655  5 Hg 3.26-3.64, 4 In 3.33-3.61, 3 Pb 3.47-3.54

Calculated values
- symmetry = Cc (9)
- E_tot (eV/atom) = -2.00
- DFT formation energy (eV/atom) = 0.019
- DOS(E_F) (states/eV/f.u.) = 6.49

***

VASP calculation (GGA-PBE) on a relaxed structure of InHg2Pb.

a b c (Å): 3.4610 3.4610 9.4186
angles (deg): 90.00 90.00 103.35
Last column: nearest neighbours and their distance in Å.
Fractional positions:
Pb1 0.5000 0.5000 0.7500  4 Hg 3.25, 4 Pb 3.46
Hg1 0.0000 0.0000 0.0098  2 In 3.12, 2 Pb 3.25, 4 Hg 3.46
Hg2 0.0000 0.0000 0.4902  2 In 3.12, 2 Pb 3.25, 4 Hg 3.46
In1 0.5000 0.5000 0.2500  4 Hg 3.12, 4 In 3.46

Calculated values
- symmetry = Cmmm (65)
- E_tot (eV/atom) = -1.74
- DFT formation energy (eV/atom) = 0.028
- DOS(E_F) (states/eV/f.u.) = 1.83